# 1
KNi2Os | the Alexandria database | PBE | optimized geometry; calculated density = 5.88 Mg/m³; formation enthalpy at 0 K = 1.08 eV per atom; E = -4.896 eV per atom; symmetry = I4_1/amd
1.0
5.0702 0.0000 0.0000
0.0000 5.0702 0.0000
2.5351 2.5351 7.6182
Ni Os K
4 2 2
direct
0.8750 0.1254 0.7500
0.3750 0.1246 0.7500
0.8746 0.6250 0.2500
0.8754 0.1250 0.2500
0.7500 0.2500 0.5000
0.0000 0.0000 0.0000
0.2500 0.7500 0.5000
0.5000 0.5000 0.0000


# 2
KNi4Os | the Alexandria database | PBE | optimized geometry; calculated density = 9.08 Mg/m³; formation enthalpy at 0 K = 0.82 eV per atom; E = -5.088 eV per atom; symmetry = F-43m
1.0
3.0270 1.8503 3.4276
-0.7039 4.5767 1.7009
-1.6223 0.6972 4.6062
K Os Ni
1 1 4
direct
0.0000 0.0000 0.0000
0.7500 0.7500 0.7500
0.3760 0.3760 0.8722
0.3760 0.8722 0.3760
0.8722 0.3760 0.3760
0.3760 0.3760 0.3760


# 3
KNiOs2 | the Alexandria database | PBE | optimized geometry; calculated density = 8.37 Mg/m³; formation enthalpy at 0 K = 1.46 eV per atom; E = -5.879 eV per atom; symmetry = I-42d
1.0
4.6962 0.0000 0.0000
0.0000 4.6962 0.0000
2.3481 2.3481 8.6009
K Ni Os
2 2 4
direct
0.2500 0.7500 0.5000
0.5000 0.5000 0.0000
0.0000 0.0000 0.0000
0.7500 0.2500 0.5000
0.3750 0.0759 0.7500
0.9241 0.1250 0.2500
0.8259 0.6250 0.2500
0.8750 0.1741 0.7500


# 4
KNiOs2 | the Alexandria database | PBE | optimized geometry; calculated density = 12.09 Mg/m³; formation enthalpy at 0 K = 1.25 eV per atom; E = -6.085 eV per atom; symmetry = P2/m
1.0
-4.2182 -1.3771 -2.3323
-0.6739 -1.5113 2.1112
-2.4596 3.5314 2.3635
K Os Ni
1 2 1
direct
0.5000 0.2500 0.2500
0.0000 0.9351 0.9826
0.0000 0.5649 0.5174
0.5000 0.7500 0.7500


# 5
KNi2Os | the Alexandria database | PBE | optimized geometry; calculated density = 8.14 Mg/m³; formation enthalpy at 0 K = 0.52 eV per atom; E = -5.452 eV per atom; symmetry = P2/m
1.0
-1.7635 -1.5835 2.6731
2.2139 -1.3260 0.6750
4.1030 4.2361 5.2163
Ni Os K
2 1 1
direct
0.0000 0.9083 0.0877
0.0000 0.5917 0.4123
0.5000 0.2500 0.2500
0.5000 0.7500 0.7500


# 6
KNiOs2 | the Alexandria database | PBE | optimized geometry; calculated density = 12.06 Mg/m³; formation enthalpy at 0 K = 0.95 eV per atom; E = -6.387 eV per atom; symmetry = Cmm2
1.0
-0.0685 -2.4946 1.0682
2.3207 0.7415 -1.1972
3.3221 3.6288 8.6873
Os Ni K
2 1 1
direct
0.0000 0.0000 0.9923
0.5000 0.5000 0.2140
0.5000 0.5000 0.7842
0.0000 0.0000 0.5094


# 7
KNiOs2 | the Alexandria database | PBE | optimized geometry; calculated density = 12.07 Mg/m³; formation enthalpy at 0 K = 1.26 eV per atom; E = -6.072 eV per atom; symmetry = C2/m
1.0
-2.2076 2.6044 3.4011
2.6176 -4.8159 2.0756
2.2536 0.9792 0.9190
K Os Ni
1 2 1
direct
0.0000 0.5000 0.5000
0.0000 0.0000 0.0000
0.5000 0.0000 0.5000
0.5000 0.5000 0.0000


# 8
KNiOs2 | the Alexandria database | PBE | optimized geometry; calculated density = 10.82 Mg/m³; formation enthalpy at 0 K = 1.27 eV per atom; E = -6.069 eV per atom; symmetry = Imm2
1.0
5.9691 0.0053 -0.0050
2.9404 5.1946 0.0050
-3.5208 -4.2002 2.3648
Ni K Os
1 1 2
direct
0.2108 0.7108 0.5000
0.4913 0.4913 0.0000
0.0037 0.0037 0.0000
0.7942 0.2942 0.5000


Copy entry 7 word for word.
KNiOs2 | the Alexandria database | PBE | optimized geometry; calculated density = 12.07 Mg/m³; formation enthalpy at 0 K = 1.26 eV per atom; E = -6.072 eV per atom; symmetry = C2/m
1.0
-2.2076 2.6044 3.4011
2.6176 -4.8159 2.0756
2.2536 0.9792 0.9190
K Os Ni
1 2 1
direct
0.0000 0.5000 0.5000
0.0000 0.0000 0.0000
0.5000 0.0000 0.5000
0.5000 0.5000 0.0000


> What is the E in the sixth record?

-6.387 eV per atom


What did the third record say?
KNiOs2 | the Alexandria database | PBE | optimized geometry; calculated density = 8.37 Mg/m³; formation enthalpy at 0 K = 1.46 eV per atom; E = -5.879 eV per atom; symmetry = I-42d
1.0
4.6962 0.0000 0.0000
0.0000 4.6962 0.0000
2.3481 2.3481 8.6009
K Ni Os
2 2 4
direct
0.2500 0.7500 0.5000
0.5000 0.5000 0.0000
0.0000 0.0000 0.0000
0.7500 0.2500 0.5000
0.3750 0.0759 0.7500
0.9241 0.1250 0.2500
0.8259 0.6250 0.2500
0.8750 0.1741 0.7500


> Which of these has the highest calculated density?

number 4